Below is a geometry-optimized AlIn2I4 structure, with properties calculated at the PBE-GGA level.

Calculated values
space group	I4/mmm, No. 139
uncorrected energy	-2.578	eV/atom
distance to the lowest polymorph of the same formula	0.0	meV/atom

Cell and atoms, written as CIF:
```
data_AlIn2I4
_chemical_formula_sum 'Al1 In2 I4'
_space_group_name_H-M_alt 'P 1'
_space_group_IT_number 1
_cell_length_a 9.5545
_cell_length_b 9.5545
_cell_length_c 9.5545
_cell_angle_alpha 145.26
_cell_angle_beta 145.26
_cell_angle_gamma 49.95
loop_
_space_group_symop_operation_xyz
'x,y,z'
loop_
_atom_site_label
_atom_site_type_symbol
_atom_site_fract_x
_atom_site_fract_y
_atom_site_fract_z
Al1 Al 0.0000 0.0000 0.0000
In1 In 0.3607 0.3607 0.0000
In2 In 0.6393 0.6393 0.0000
I1 I 0.0000 0.5000 0.5000
I2 I 0.1700 0.1700 0.0000
I3 I 0.5000 0.0000 0.5000
I4 I 0.8300 0.8300 0.0000
```